Compound: Tl2Pd5Au
Source: Alexandria
Functional: PBE-GGA
Structure: optimized geometry

It has space group I4/mmm (No. 139), with a = 5.943 Å, b = 5.943 Å, c = 7.900 Å, α = 90.00°, β = 90.00° and γ = 90.00°. The asymmetric unit holds Tl at (0.000, 0.500, 0.000), Pd at (0.000, 0.000, 0.000), Pd at (0.250, 0.250, 0.250) and Au at (0.000, 0.000, 0.500).

Its density of states at the Fermi level is 9.91 states/eV per cell. The calculation puts the calculated formation energy at -0.19 eV per atom. The calculation puts the calculated total energy at -4.43 eV per atom.